Here is Al2MoRu after structural relaxation from Alexandria. Energies are from PBE.

Properties
excess energy over the best structure of this formula in the dataset: 0.0137 eV/atom
energy relative to the elements: -1.5 eV per formula unit
space group: P4mm, No. 99

Cell and atoms, written as POSCAR:
```
Al2MoRu
1.0
3.076 0.000 0.000
0.000 3.076 0.000
0.000 0.000 6.133
Al Mo Ru
2 1 1
Cartesian
0.000 0.000 6.054 Al
1.538 1.538 1.517 Al
0.000 0.000 3.039 Mo
1.538 1.538 4.722 Ru
```